Entry P
Below is Tb7Tm2 after structural relaxation, with properties calculated at the GGA-PBE level.

Cell: 9.6594 9.6594 3.5042 Å, 90.00 90.00 120.00°
Space group P-62m (No. 189)
Symmetry-distinct sites (fractional):
Tb: 0.0000 0.0000 0.0000 (multiplicity 1)
Tb: 0.0000 0.3035 0.5000 (multiplicity 3)
Tb: 0.0000 0.6355 0.0000 (multiplicity 3)
Tm: 0.3333 0.6667 0.5000 (multiplicity 2)

Magnetization (μB per formula unit): 0.00



Entry Q
Below is Tb7Tm2 after structural relaxation, with properties calculated at the GGA-PBE level.

Cell: 6.1257 6.1257 8.6582 Å, 90.00 90.00 120.00°
Space group P-31m (No. 162)
Symmetry-distinct sites (fractional):
Tb: 0.0000 0.0000 0.0000 (multiplicity 1)
Tb: 0.0000 0.3338 0.6681 (multiplicity 6)
Tm: 0.3333 0.6667 0.0000 (multiplicity 2)

Magnetization (μB per formula unit): 0.00



Stability verdict: entry Q, ahead by 0.020 eV/atom



Entry P
Below is TbTm2V after structural relaxation, with properties calculated at the GGA-PBE level.

Cell: 3.552 3.552 8.502 Å, 90.00 90.00 90.00°
Space group P4/mmm (No. 123)
Symmetry-distinct sites (fractional):
Tb: 0.000 0.000 0.000 (multiplicity 1)
Tm: 0.500 0.500 0.300 (multiplicity 2)
V: 0.000 0.000 0.500 (multiplicity 1)

Magnetization (μB per formula unit): 3.12



Entry Q
Below is TbTm2V after structural relaxation, with properties calculated at the GGA-PBE level.

Cell: 3.3391 3.3391 33.9960 Å, 90.00 90.00 120.00°
Space group R-3m (No. 166, hexagonal axes)
Symmetry-distinct sites (fractional):
Tb: 0.0000 0.0000 0.0000 (multiplicity 3)
Tm: 0.0000 0.0000 0.4180 (multiplicity 6)
V: 0.0000 0.0000 0.5000 (multiplicity 3)

Magnetization (μB per formula unit): 3.05



Stability verdict: entry P, ahead by 0.403 eV/atom



Entry P
Below is TbY3Tm2 after structural relaxation, with properties calculated at the GGA-PBE level.

Cell: 17.357 7.085 6.131 Å, 90.00 90.02 90.00°
Space group C2/c (No. 15)
Symmetry-distinct sites (fractional):
Tb: 0.000 0.125 0.250 (multiplicity 4)
Y: 0.000 0.375 0.750 (multiplicity 4)
Y: 0.167 0.125 0.917 (multiplicity 8)
Tm: 0.167 0.375 0.417 (multiplicity 8)

Magnetization (μB per formula unit): 0.00



Entry Q
Below is TbY3Tm2 after structural relaxation, with properties calculated at the GGA-PBE level.

Cell: 23.022 3.486 10.161 Å, 90.00 108.34 90.00°
Space group C2/m (No. 12)
Symmetry-distinct sites (fractional):
Tb: 0.187 0.000 0.041 (multiplicity 4)
Y: 0.059 0.000 0.439 (multiplicity 4)
Y: 0.069 0.500 0.771 (multiplicity 4)
Y: 0.196 0.000 0.714 (multiplicity 4)
Tm: 0.071 0.500 0.137 (multiplicity 4)
Tm: 0.193 0.000 0.373 (multiplicity 4)

Magnetization (μB per formula unit): 0.00



Stability verdict: entry P, ahead by 0.098 eV/atom



Entry P
Below is Tb2Y3Tm5 after structural relaxation, with properties calculated at the GGA-PBE level.

Cell: 12.712 16.793 6.236 Å, 90.00 90.00 90.00°
Space group Ibam (No. 72)
Symmetry-distinct sites (fractional):
Tb: 0.105 0.157 0.000 (multiplicity 8)
Y: 0.000 0.000 0.250 (multiplicity 4)
Y: 0.156 0.247 0.500 (multiplicity 8)
Tm: 0.000 0.500 0.250 (multiplicity 4)
Tm: 0.099 0.344 0.000 (multiplicity 8)
Tm: 0.247 0.500 0.250 (multiplicity 8)

Magnetization (μB per formula unit): 0.00



Entry Q
Below is Tb2Y3Tm5 after structural relaxation, with properties calculated at the GGA-PBE level.

Cell: 10.572 15.592 9.418 Å, 90.00 123.91 90.00°
Space group C2/c (No. 15)
Symmetry-distinct sites (fractional):
Tb: 0.145 0.122 0.049 (multiplicity 8)
Y: 0.000 0.269 0.750 (multiplicity 4)
Y: 0.154 0.380 0.547 (multiplicity 8)
Tm: 0.000 0.024 0.250 (multiplicity 4)
Tm: 0.000 0.230 0.250 (multiplicity 4)
Tm: 0.000 0.471 0.750 (multiplicity 4)
Tm: 0.239 0.386 0.231 (multiplicity 8)

Magnetization (μB per formula unit): 0.00



Stability verdict: entry Q, ahead by 0.149 eV/atom



Entry P
Below is Tb3Y8Tm4 after structural relaxation, with properties calculated at the GGA-PBE level.

Cell: 6.9313 6.9313 35.1350 Å, 90.00 90.00 120.00°
Space group R-3m (No. 166, hexagonal axes)
Symmetry-distinct sites (fractional):
Tb: 0.0000 0.5000 0.0000 (multiplicity 9)
Y: 0.0000 0.0000 0.2547 (multiplicity 6)
Y: 0.0008 0.5004 0.2496 (multiplicity 18)
Tm: 0.0000 0.0000 0.0000 (multiplicity 3)
Tm: 0.0000 0.0000 0.1642 (multiplicity 6)
Tm: 0.0000 0.0000 0.5000 (multiplicity 3)

Magnetization (μB per formula unit): 0.59



Entry Q
Below is Tb3Y8Tm4 after structural relaxation, with properties calculated at the GGA-PBE level.

Cell: 13.355 12.768 6.710 Å, 90.00 119.87 90.00°
Space group C2/m (No. 12)
Symmetry-distinct sites (fractional):
Tb: 0.000 0.000 0.000 (multiplicity 2)
Tb: 0.250 0.250 0.000 (multiplicity 4)
Y: 0.000 0.144 0.500 (multiplicity 4)
Y: 0.000 0.251 0.000 (multiplicity 4)
Y: 0.229 0.000 0.945 (multiplicity 4)
Y: 0.242 0.000 0.477 (multiplicity 4)
Tm: 0.000 0.500 0.000 (multiplicity 2)
Tm: 0.000 0.500 0.500 (multiplicity 2)
Tm: 0.250 0.250 0.500 (multiplicity 4)

Magnetization (μB per formula unit): 0.00



Stability verdict: entry P, ahead by 0.243 eV/atom



Entry P
Below is Tb2YTm after structural relaxation, with properties calculated at the GGA-PBE level.

Cell: 3.5471 3.5471 34.6274 Å, 90.00 90.00 120.00°
Space group R-3m (No. 166, hexagonal axes)
Symmetry-distinct sites (fractional):
Tb: 0.0000 0.0000 0.2491 (multiplicity 6)
Y: 0.0000 0.0000 0.0000 (multiplicity 3)
Tm: 0.0000 0.0000 0.5000 (multiplicity 3)

Magnetization (μB per formula unit): 0.00



Entry Q
Below is Tb2YTm after structural relaxation, with properties calculated at the GGA-PBE level.

Cell: 3.5735 3.5735 34.3011 Å, 90.00 90.00 120.00°
Space group R3m (No. 160, hexagonal axes)
Symmetry-distinct sites (fractional):
Tb: 0.0000 0.0000 0.0000 (multiplicity 3)
Tb: 0.0000 0.0000 0.1678 (multiplicity 3)
Y: 0.0000 0.0000 0.7502 (multiplicity 3)
Tm: 0.0000 0.0000 0.5839 (multiplicity 3)

Magnetization (μB per formula unit): 0.00



Stability verdict: entry Q, ahead by 0.009 eV/atom